Entry 1:
The following is a DFT calculation (PBE) of an optimized crystal structure of BeW.

Unit cell a=4.759 b=5.437 c=2.609 alpha=76.12 beta=74.09 gamma=50.04
Element x y z (fractional)
W  0.338  0.111  0.275
W  0.578  0.472  0.475
Be  0.914  0.645  0.721
Be  0.003  0.938  0.029

Output
Total moment   0.0 μB/cell
E above lowest polymorph   371 meV per atom

Entry 2:
The following is a DFT calculation (PBE) of an optimized crystal structure of TbPuPdPt.

Unit cell a=4.976 b=4.976 c=4.976 alpha=60.00 beta=60.00 gamma=60.00
Element x y z (fractional)
Pu  0.500  0.500  0.500
Pt  0.250  0.250  0.250
Tb  0.000  0.000  0.000
Pd  0.750  0.750  0.750

Output
Total moment   5.7 μB/cell
E above lowest polymorph   54 meV per atom

Entry 3:
The following is a DFT calculation (PBE) of an optimized crystal structure of HfNi4Bi.

Unit cell a=4.967 b=4.967 c=4.967 alpha=60.00 beta=60.00 gamma=60.00
Element x y z (fractional)
Ni  0.626  0.121  0.626
Ni  0.626  0.626  0.121
Ni  0.626  0.626  0.626
Ni  0.121  0.626  0.626
Bi  0.250  0.250  0.250
Hf  0.000  0.000  0.000

Output
Total moment   1.0 μB/cell
Raw total energy   -6.3429 eV/atom

Entry 4:
The following is a DFT calculation (PBE) of an optimized crystal structure of AcLuBr2.

Unit cell a=3.851 b=3.851 c=10.600 alpha=79.53 beta=79.53 gamma=60.00
Element x y z (fractional)
Br  0.910  0.910  0.270
Br  0.090  0.090  0.730
Lu  0.000  0.000  0.000
Ac  0.500  0.500  0.500

Output
Total moment   0.0 μB/cell
Raw formation energy   -1.031 eV per atom

Entry 5:
The following is a DFT calculation (PBE) of an optimized crystal structure of K2MnAlRu.

Unit cell a=6.153 b=4.685 c=6.153 alpha=90.00 beta=90.00 gamma=90.00
Element x y z (fractional)
Al  0.000  0.500  0.000
K  0.000  0.000  0.500
K  0.500  0.000  0.000
Ru  0.000  0.000  0.000
Mn  0.500  0.500  0.500

Output
Total moment   3.8 μB/cell
Raw total energy   -3.7403 eV/atom

Entry 6:
The following is a DFT calculation (PBE) of an optimized crystal structure of NpGeTe2.

Unit cell a=3.840 b=3.840 c=7.054 alpha=90.00 beta=90.00 gamma=90.00
Element x y z (fractional)
Te  0.000  0.000  0.743
Te  0.000  0.000  0.257
Np  0.500  0.500  0.500
Ge  0.500  0.500  0.000

Output
Total moment   4.3 μB/cell
Raw formation energy   -0.190 eV per atom
E above lowest polymorph   9 meV per atom

Entry 7:
The following is a DFT calculation (PBE) of an optimized crystal structure of Sr4FeSb12.

Unit cell a=9.640 b=9.640 c=9.640 alpha=109.47 beta=109.47 gamma=109.47
Element x y z (fractional)
Sr  0.500  0.500  0.500
Sr  0.000  0.000  0.500
Sr  0.500  0.000  0.000
Sr  0.000  0.500  0.000
Sb  0.126  0.373  0.499
Sb  0.501  0.874  0.627
Sb  0.753  0.126  0.627
Sb  0.373  0.499  0.126
Sb  0.874  0.627  0.501
Sb  0.874  0.373  0.247
Sb  0.499  0.126  0.373
Sb  0.627  0.753  0.126
Sb  0.247  0.874  0.373
Sb  0.126  0.627  0.753
Sb  0.627  0.501  0.874
Sb  0.373  0.247  0.874
Fe  0.000  0.000  0.000

Output
Total moment   3.4 μB/cell
Raw formation energy   -0.022 eV per atom

Entry 8:
The following is a DFT calculation (PBE) of an optimized crystal structure of NdTlHg2Cl8.

Unit cell a=6.898 b=6.764 c=9.093 alpha=74.98 beta=81.58 gamma=87.30
Element x y z (fractional)
Cl  0.178  0.784  0.805
Cl  0.858  0.256  0.753
Cl  0.392  0.269  0.489
Cl  0.608  0.731  0.511
Cl  0.658  0.759  0.031
Cl  0.822  0.216  0.195
Cl  0.342  0.241  0.969
Cl  0.142  0.744  0.247
Tl  0.000  0.000  0.500
Nd  0.000  0.000  0.000
Hg  0.522  0.531  0.270
Hg  0.478  0.469  0.730

Output
Total moment   0.0 μB/cell
Raw formation energy   -1.191 eV per atom

Entry 9:
The following is a DFT calculation (PBE) of an optimized crystal structure of K3Pr3NbSe8.

Unit cell a=8.466 b=8.467 c=9.269 alpha=117.17 beta=90.00 gamma=120.00
Element x y z (fractional)
Se  0.784  0.020  0.303
Se  0.783  0.567  0.303
Se  0.764  0.980  0.697
Se  0.262  0.523  0.285
Se  0.738  0.477  0.715
Se  0.217  0.433  0.697
Se  0.216  0.980  0.697
Se  0.236  0.020  0.303
K  0.000  0.000  0.000
K  0.500  0.500  0.000
K  0.000  0.500  0.000
Pr  0.000  0.500  0.500
Pr  0.500  0.000  0.500
Pr  0.500  0.500  0.500
Nb  0.000  0.000  0.500

Output
Total moment   1.0 μB/cell
Raw formation energy   -1.487 eV per atom

Entry 10:
The following is a DFT calculation (PBE) of an optimized crystal structure of Li4Pm3UTe8.

Unit cell a=8.824 b=8.733 c=8.823 alpha=120.37 beta=120.00 gamma=90.00
Element x y z (fractional)
Te  0.757  0.761  0.009
Te  0.748  0.239  0.991
Te  0.246  0.238  0.492
Te  0.252  0.761  0.009
Te  0.748  0.239  0.496
Te  0.754  0.762  0.508
Te  0.243  0.239  0.991
Te  0.252  0.761  0.504
Li  0.000  0.000  0.000
Li  0.500  0.000  0.000
Li  0.500  0.000  0.500
Li  0.000  0.000  0.500
Pm  0.000  0.500  0.500
Pm  0.500  0.500  0.500
Pm  0.500  0.500  0.000
U  0.000  0.500  0.000

Output
Total moment   2.9 μB/cell
Raw formation energy   -1.156 eV per atom

Entry 11:
The following is a DFT calculation (PBE) of an optimized crystal structure of TbDy2Ho6Tm.

Unit cell a=9.480 b=8.691 c=8.691 alpha=117.97 beta=94.00 gamma=94.00
Element x y z (fractional)
Tb  0.750  0.023  0.977
Tb  0.250  0.977  0.023
Ho  0.056  0.125  0.750
Ho  0.444  0.250  0.875
Ho  0.880  0.291  0.504
Ho  0.944  0.875  0.250
Ho  0.380  0.504  0.291
Ho  0.815  0.430  0.982
Ho  0.620  0.496  0.709
Ho  0.315  0.982  0.430
Ho  0.556  0.750  0.125
Ho  0.185  0.570  0.018
Ho  0.120  0.709  0.496
Ho  0.685  0.018  0.570
Dy  0.044  0.302  0.197
Dy  0.456  0.803  0.698
Dy  0.544  0.197  0.302
Dy  0.956  0.698  0.803
Tm  0.750  0.591  0.409
Tm  0.250  0.409  0.591

Output
Total moment   0.0 μB/cell
Raw total energy   -4.4575 eV/atom

Entry 12:
The following is a DFT calculation (PBE) of an optimized crystal structure of CsGaPb2Se4.

Unit cell a=7.187 b=7.187 c=7.187 alpha=115.14 beta=115.14 gamma=98.65
Element x y z (fractional)
Cs  0.500  0.500  0.000
Pb  0.750  0.250  0.500
Pb  0.250  0.750  0.500
Se  0.326  0.941  0.000
Se  0.674  0.674  0.616
Se  0.941  0.326  0.000
Se  0.059  0.059  0.384
Ga  0.000  0.000  0.000

Output
Total moment   0.0 μB/cell
Raw formation energy   -0.654 eV per atom

Entry 13:
The following is a DFT calculation (PBE) of an optimized crystal structure of RbSrSbS3.

Unit cell a=5.088 b=8.807 c=8.761 alpha=103.15 beta=90.00 gamma=106.79
Element x y z (fractional)
S  0.839  0.677  0.645
S  0.847  0.694  0.212
S  0.495  0.991  0.711
S  0.153  0.306  0.788
S  0.161  0.323  0.355
S  0.505  0.009  0.289
Sb  0.001  0.002  0.675
Sb  0.999  0.998  0.325
Rb  0.355  0.710  0.934
Rb  0.645  0.290  0.066
Sr  0.658  0.315  0.570
Sr  0.342  0.685  0.430

Output
Total moment   0.0 μB/cell
Raw formation energy   -1.027 eV per atom

Entry 14:
The following is a DFT calculation (PBE) of an optimized crystal structure of BaEu4Mg.

Unit cell a=7.207 b=7.207 c=7.207 alpha=60.00 beta=60.00 gamma=60.00
Element x y z (fractional)
Ba  0.250  0.250  0.250
Eu  0.626  0.626  0.626
Eu  0.121  0.626  0.626
Eu  0.626  0.121  0.626
Eu  0.626  0.626  0.121
Mg  0.000  0.000  0.000

Output
Total moment   30.2 μB/cell
Raw total energy   -7.2489 eV/atom

Entry 15:
The following is a DFT calculation (PBE) of an optimized crystal structure of Y3In4Pt4.

Unit cell a=3.808 b=8.028 c=9.113 alpha=116.13 beta=102.06 gamma=90.00
Element x y z (fractional)
In  0.333  0.529  0.666
In  0.333  0.137  0.666
In  0.667  0.863  0.334
In  0.667  0.471  0.334
Pt  0.500  0.799  0.000
Pt  0.242  0.742  0.484
Pt  0.500  0.201  0.000
Pt  0.758  0.258  0.516
Y  0.892  0.892  0.783
Y  0.108  0.108  0.217
Y  0.000  0.500  0.000

Output
Total moment   0.0 μB/cell
Raw total energy   -5.8256 eV/atom

Entry 16:
The following is a DFT calculation (PBE) of an optimized crystal structure of AcTcRu.

Unit cell a=4.850 b=3.423 c=11.262 alpha=90.00 beta=90.00 gamma=135.11
Element x y z (fractional)
Tc  0.195  0.390  0.105
Tc  0.195  0.390  0.895
Ru  0.695  0.390  0.000
Ru  0.194  0.387  0.500
Ac  0.694  0.388  0.672
Ac  0.694  0.388  0.328

Output
Total moment   0.0 μB/cell
Raw total energy   -7.4453 eV/atom

Entry 17:
The following is a DFT calculation (PBE) of an optimized crystal structure of SrLi2Br.

Unit cell a=4.039 b=4.040 c=8.055 alpha=90.00 beta=90.00 gamma=90.00
Element x y z (fractional)
Li  0.500  0.500  0.212
Li  0.000  0.000  0.093
Br  0.500  0.500  0.689
Sr  0.000  0.000  0.507

Output
Total moment   0.0 μB/cell
Raw formation energy   -0.594 eV per atom
E above lowest polymorph   24 meV per atom

Entry 18:
The following is a DFT calculation (PBE) of an optimized crystal structure of SrLa5N6.

Unit cell a=6.492 b=6.499 c=6.486 alpha=59.93 beta=80.26 gamma=70.27
Element x y z (fractional)
N  0.743  0.085  0.352
N  0.257  0.915  0.648
N  0.743  0.437  0.648
N  0.257  0.563  0.352
N  0.257  0.266  0.000
N  0.743  0.734  0.000
La  0.000  0.333  0.334
La  0.500  0.833  0.335
La  0.500  0.167  0.665
La  0.000  0.667  0.666
La  0.500  0.500  0.000
Sr  0.000  0.000  0.000

Output
Total moment   0.0 μB/cell
Raw formation energy   -1.153 eV per atom

Entry 19:
The following is a DFT calculation (PBE) of an optimized crystal structure of SnAs2Br6.

Unit cell a=7.350 b=11.015 c=11.015 alpha=76.94 beta=86.60 gamma=86.60
Element x y z (fractional)
Br  0.373  0.377  0.975
Br  0.592  0.539  0.682
Br  0.390  0.036  0.154
Br  0.127  0.025  0.623
Br  0.092  0.682  0.539
Br  0.890  0.154  0.036
Br  0.908  0.318  0.461
Br  0.627  0.623  0.025
Br  0.873  0.975  0.377
Br  0.408  0.461  0.318
Br  0.110  0.846  0.964
Br  0.610  0.964  0.846
Sn  0.250  0.077  0.923
Sn  0.750  0.923  0.077
As  0.140  0.169  0.431
As  0.860  0.831  0.569
As  0.640  0.431  0.169
As  0.360  0.569  0.831

Output
Total moment   0.0 μB/cell
Raw formation energy   -0.346 eV per atom